--- w ---
Compound: KOs2Pb2
Source: the Alexandria database
Functional: PBE
Structure: optimized geometry

The density of states at the Fermi level comes out at 7.83 states/eV/cell.

Cell: 8.3023 8.3023 3.1070 Å, 90.00 90.00 90.00°
Last column: nearest neighbours and their distance in Å.
Fractional positions:
Pb 0.1592 0.6592 0.5000  6 Os 2.88-2.90, 2 Pb 3.11
Pb 0.6592 0.8408 0.5000  6 Os 2.88-2.90, 2 Pb 3.11
Pb 0.8408 0.3408 0.5000  6 Os 2.88-2.90, 2 Pb 3.11
Pb 0.3408 0.1592 0.5000  6 Os 2.88-2.90, 2 Pb 3.11
K 0.0000 0.0000 0.0000  2 K 3.11, 4 Os 3.24
K 0.5000 0.5000 0.0000  2 K 3.11, 4 Os 3.24
Os 0.3677 0.8677 0.0000  6 Pb 2.88-2.90, 3 Os 3.11
Os 0.8677 0.6323 0.0000  6 Pb 2.88-2.90, 3 Os 3.11
Os 0.6323 0.1323 0.0000  6 Pb 2.88-2.90, 3 Os 3.11
Os 0.1323 0.3677 0.0000  6 Pb 2.88-2.90, 3 Os 3.11

--- x ---
Compound: KOs2Pb2
Source: the Alexandria database
Functional: PBE
Structure: optimized geometry

The density of states at the Fermi level comes out at 4.06 states/eV/cell.

Cell: 4.9882 4.9882 6.1395 Å, 66.03 66.03 90.00°
Last column: nearest neighbours and their distance in Å.
Fractional positions:
Pb 0.7500 0.2500 0.5000  4 Os 2.84
Pb 0.2500 0.7500 0.5000  4 Os 2.84
K 0.0000 0.0000 0.0000  8 Pb 3.54, 10 Os 3.71-3.87
Os 0.3854 0.3854 0.2292  1 Os 2.30
Os 0.6146 0.6146 0.7708  1 Os 2.30

We find x to be the most stable, with the next structure 230 meV/atom higher.

--- w ---
Compound: KOsPb
Source: the Alexandria database
Functional: PBE
Structure: optimized geometry

The density of states at the Fermi level comes out at 7.21 states/eV/cell.

Cell: 5.0666 5.0666 5.0666 Å, 60.00 60.00 60.00°
Last column: nearest neighbours and their distance in Å.
Fractional positions:
K 0.7500 0.7500 0.7500  4 Os 3.10, 4 Pb 3.10
Os 0.0000 0.0000 0.0000  4 K 3.10
Pb 0.5000 0.5000 0.5000  4 K 3.10

--- x ---
Compound: KOsPb
Source: the Alexandria database
Functional: PBE
Structure: optimized geometry

The density of states at the Fermi level comes out at 1.62 states/eV/cell.

Cell: 6.8558 6.8558 6.8558 Å, 153.30 142.58 46.56°
Last column: nearest neighbours and their distance in Å.
Fractional positions:
K 0.0008 0.0008 0.0000  2 K 3.17, 1 Os 3.27, 1 Pb 3.30
Os 0.2604 0.2604 0.0000  4 Pb 2.72
Pb 0.7388 0.7388 0.0000  4 Os 2.72

We find x to be the most stable, with the next structure 1269 meV/atom higher.

--- w ---
Compound: KOsPb
Source: the Alexandria database
Functional: PBE
Structure: optimized geometry

The density of states at the Fermi level comes out at 2.79 states/eV/cell.

Cell: 7.3959 7.3960 3.3125 Å, 77.06 77.06 25.88°
Last column: nearest neighbours and their distance in Å.
Fractional positions:
K 0.9892 0.9892 0.0108  4 K 3.31, 4 Os 3.42
Os 0.3118 0.3118 0.6882  4 Pb 2.83
Pb 0.6990 0.6990 0.3010  4 Os 2.83

--- x ---
Compound: KOsPb
Source: the Alexandria database
Functional: PBE
Structure: optimized geometry

The density of states at the Fermi level comes out at 2.73 states/eV/cell.

Cell: 3.2998 3.2998 7.8597 Å, 90.00 90.00 120.00°
Last column: nearest neighbours and their distance in Å.
Fractional positions:
K 0.0000 0.0000 0.0223  3 Os 3.27, 6 K 3.30
Os 0.6667 0.3333 0.3605  3 Pb 2.77
Pb 0.3333 0.6667 0.6171  3 Os 2.77

We find w to be the most stable, with the next structure 97 meV/atom higher.

--- w ---
Compound: KOsPb3
Source: the Alexandria database
Functional: PBE
Structure: optimized geometry

The density of states at the Fermi level comes out at 4.27 states/eV/cell.

Cell: 5.4329 5.4329 5.4329 Å, 90.00 90.00 90.00°
Last column: nearest neighbours and their distance in Å.
Fractional positions:
Pb 0.0000 0.5000 0.0000  2 Os 2.72
Pb 0.0000 0.0000 0.5000  2 Os 2.72
Pb 0.5000 0.0000 0.0000  2 Os 2.72
K 0.5000 0.5000 0.5000  12 Pb 3.84
Os 0.0000 0.0000 0.0000  6 Pb 2.72

--- x ---
Compound: KOsPb3
Source: the Alexandria database
Functional: PBE
Structure: optimized geometry

The density of states at the Fermi level comes out at 4.03 states/eV/cell.

Cell: 5.7738 5.7738 5.7738 Å, 90.00 90.00 90.00°
Last column: nearest neighbours and their distance in Å.
Fractional positions:
Pb 0.0000 0.5000 0.0000  2 K 2.89
Pb 0.0000 0.0000 0.5000  2 K 2.89
Pb 0.5000 0.0000 0.0000  2 K 2.89
K 0.0000 0.0000 0.0000  6 Pb 2.89
Os 0.5000 0.5000 0.5000  12 Pb 4.08

We find w to be the most stable, with the next structure 1707 meV/atom higher.